! Tm8Te2Ru3 (PBE-GGA, relaxed); values from VASP
&SYSTEM
  ibrav = 0, nat = 13, ntyp = 3
/
ATOMIC_SPECIES
Tm 168.93 Tm.upf
Te 127.60 Te.upf
Ru 101.07 Ru.upf
CELL_PARAMETERS angstrom
8.960 0.000 0.000
0.000 4.778 0.000
-3.785 0.000 8.124
ATOMIC_POSITIONS angstrom
Tm -0.567 0.000 3.217
Tm -1.921 2.389 7.005
Tm 0.780 2.389 5.282
Tm 3.099 0.000 0.881
Tm 2.076 0.000 7.243
Tm 4.395 2.389 2.843
Tm 7.096 2.389 1.119
Tm 5.742 0.000 4.908
Te 1.186 2.389 2.103
Te 3.989 2.389 6.021
Ru -0.595 0.000 6.102
Ru 4.480 2.389 0.000
Ru 5.770 0.000 2.022
! Volume = 347.9 Å³/cell
! Uncorrected energy = -77.51 eV for the cell shown
! Fermi-level density of states = 0.63 states/eV per atom
! ρ = 9.12 Mg/m³
! Formation energy (no corrections) = -0.59 eV/atom